Record 1
Here is a relaxed structure of Nd5ZnIn2 from Alexandria via LeMat-Bulk. Energies are from PBE.

Cell lengths 4.662, 6.070, 17.920 Å; angles 90.00, 90.00, 112.58 degrees
Fractional coordinates of all 16 atoms:
Nd (0.955, 0.911, 0.898)
Nd (0.955, 0.911, 0.602)
Nd (0.340, 0.681, 0.458)
Nd (0.340, 0.681, 0.042)
Nd (0.448, 0.896, 0.250)
Nd (0.552, 0.104, 0.750)
Nd (0.660, 0.319, 0.542)
Nd (0.660, 0.319, 0.958)
Nd (0.045, 0.089, 0.102)
Nd (0.045, 0.089, 0.398)
Zn (0.835, 0.670, 0.750)
Zn (0.165, 0.330, 0.250)
In (0.749, 0.498, 0.340)
In (0.749, 0.498, 0.160)
In (0.251, 0.502, 0.660)
In (0.251, 0.502, 0.840)

ΔE_f   -0.256 eV/atom
Symmetry   Cmcm


Record 2
Here is a relaxed structure of LiCeSi from Alexandria via LeMat-Bulk. Energies are from PBE.

Cell lengths 4.731, 4.731, 4.731 Å; angles 60.00, 60.00, 60.00 degrees
Fractional coordinates of all 3 atoms:
Si (0.250, 0.250, 0.250)
Ce (0.500, 0.500, 0.500)
Li (0.000, 0.000, 0.000)

Formation energy without anion corrections   -0.83 eV/f.u.
Symmetry   F-43m


Record 3
Here is a relaxed structure of MnCo2Cu from Alexandria via LeMat-Bulk. Energies are from PBE.

Cell lengths 2.461, 2.461, 8.099 Å; angles 90.00, 90.00, 109.57 degrees
Fractional coordinates of all 4 atoms:
Co (0.000, 0.000, 0.994)
Co (0.000, 0.000, 0.506)
Cu (0.500, 0.500, 0.250)
Mn (0.500, 0.500, 0.750)

ΔE_f   0.154 eV/atom
Symmetry   Cmmm


Record 4
Here is a relaxed structure of La4Pm15Er from Alexandria via LeMat-Bulk. Energies are from PBE.

Cell lengths 5.188, 5.188, 25.897 Å; angles 90.00, 90.00, 90.00 degrees
Fractional coordinates of all 20 atoms:
La (0.000, 0.000, 0.199)
La (0.000, 0.000, 0.399)
La (0.000, 0.000, 0.601)
La (0.000, 0.000, 0.801)
Pm (0.500, 0.500, 0.000)
Pm (0.500, 0.500, 0.198)
Pm (0.500, 0.500, 0.399)
Pm (0.500, 0.500, 0.601)
Pm (0.500, 0.500, 0.802)
Pm (0.500, 0.000, 0.097)
Pm (0.500, 0.000, 0.299)
Pm (0.500, 0.000, 0.500)
Pm (0.500, 0.000, 0.701)
Pm (0.500, 0.000, 0.903)
Pm (0.000, 0.500, 0.097)
Pm (0.000, 0.500, 0.299)
Pm (0.000, 0.500, 0.500)
Pm (0.000, 0.500, 0.701)
Pm (0.000, 0.500, 0.903)
Er (0.000, 0.000, 0.000)

ΔE_f   0.019 eV/atom
Symmetry   P4/mmm


Record 5
Here is a relaxed structure of Li4Mg4Au3 from Alexandria via LeMat-Bulk. Energies are from PBE.

Cell lengths 2.989, 4.597, 14.400 Å; angles 81.57, 83.30, 89.39 degrees
Fractional coordinates of all 11 atoms:
Li (0.731, 0.546, 0.917)
Li (0.269, 0.454, 0.083)
Li (0.894, 0.817, 0.357)
Li (0.106, 0.183, 0.643)
Mg (0.523, 0.094, 0.821)
Mg (0.305, 0.279, 0.436)
Mg (0.695, 0.721, 0.564)
Mg (0.477, 0.906, 0.179)
Au (0.129, 0.635, 0.740)
Au (0.872, 0.365, 0.260)
Au (0.000, 0.000, 0.000)

ΔE_f   -0.366 eV/atom
Symmetry   P-1


Record 6
Here is a relaxed structure of La2YBe from Alexandria via LeMat-Bulk. Energies are from PBE.

Cell lengths 5.356, 5.356, 5.356 Å; angles 60.00, 60.00, 60.00 degrees
Fractional coordinates of all 4 atoms:
Y (0.750, 0.750, 0.750)
Be (0.500, 0.500, 0.500)
La (0.000, 0.000, 0.000)
La (0.250, 0.250, 0.250)

ΔE_f   0.378 eV/atom
Symmetry   F-43m


Record 7
Here is a relaxed structure of Li2SiPt from Alexandria via LeMat-Bulk. Energies are from PBE.

Cell lengths 8.724, 8.724, 8.724 Å; angles 18.23, 18.23, 18.23 degrees
Fractional coordinates of all 4 atoms:
Li (0.999, 0.999, 0.999)
Li (0.501, 0.501, 0.501)
Pt (0.250, 0.250, 0.250)
Si (0.750, 0.750, 0.750)

Formation energy without anion corrections   -1.33 eV/f.u.
Symmetry   R-3m


Record 8
Here is a relaxed structure of Tb2PmHgN from Alexandria via LeMat-Bulk. Energies are from PBE.

Cell lengths 4.973, 4.835, 4.835 Å; angles 90.00, 90.00, 90.00 degrees
Fractional coordinates of all 5 atoms:
Tb (0.000, 0.000, 0.500)
Tb (0.000, 0.500, 0.000)
Pm (0.500, 0.000, 0.000)
Hg (0.500, 0.500, 0.500)
N (0.000, 0.000, 0.000)

Formation energy without anion corrections   -4.32 eV/f.u.
Symmetry   P4/mmm


Record 9
Here is a relaxed structure of Li2Pm2ThTl2 from Alexandria via LeMat-Bulk. Energies are from PBE.

Cell lengths 4.910, 4.910, 9.499 Å; angles 75.02, 75.02, 60.00 degrees
Fractional coordinates of all 7 atoms:
Li (0.600, 0.600, 0.199)
Li (0.400, 0.400, 0.801)
Pm (0.128, 0.128, 0.617)
Pm (0.872, 0.872, 0.383)
Th (0.000, 0.000, 0.000)
Tl (0.735, 0.735, 0.794)
Tl (0.265, 0.265, 0.206)

ΔE_f   -0.121 eV/atom
Symmetry   R-3m


Record 10
Here is a relaxed structure of BeAg2Rh from Alexandria via LeMat-Bulk. Energies are from PBE.

Cell lengths 4.366, 4.366, 4.366 Å; angles 119.98, 119.98, 90.03 degrees
Fractional coordinates of all 4 atoms:
Be (0.500, 0.500, 0.000)
Rh (0.750, 0.250, 0.500)
Ag (0.000, 0.000, 0.000)
Ag (0.250, 0.750, 0.500)

ΔE_f   0.171 eV/atom
Symmetry   F-43m


Record 11
Here is a relaxed structure of Ti3FeSn3 from Alexandria via LeMat-Bulk. Energies are from PBE.

Cell lengths 3.286, 10.251, 10.251 Å; angles 120.00, 90.00, 90.00 degrees
Fractional coordinates of all 14 atoms:
Ti (0.750, 0.867, 0.433)
Ti (0.750, 0.567, 0.133)
Ti (0.750, 0.567, 0.433)
Ti (0.250, 0.133, 0.567)
Ti (0.250, 0.433, 0.867)
Ti (0.250, 0.433, 0.567)
Fe (0.750, 0.333, 0.667)
Fe (0.250, 0.667, 0.333)
Sn (0.750, 0.657, 0.828)
Sn (0.750, 0.172, 0.343)
Sn (0.750, 0.172, 0.828)
Sn (0.250, 0.343, 0.172)
Sn (0.250, 0.828, 0.657)
Sn (0.250, 0.828, 0.172)

ΔE_f   -0.032 eV/atom
Symmetry   P6_3/mmc


Record 12
Here is a relaxed structure of PrGe4Pt12 from Alexandria via LeMat-Bulk. Energies are from PBE.

Cell lengths 7.446, 7.446, 7.446 Å; angles 109.47, 109.47, 109.47 degrees
Fractional coordinates of all 17 atoms:
Pr (0.000, 0.000, 0.000)
Ge (0.000, 0.500, 0.000)
Ge (0.500, 0.000, 0.000)
Ge (0.500, 0.500, 0.500)
Ge (0.000, 0.000, 0.500)
Pt (0.843, 0.345, 0.188)
Pt (0.345, 0.503, 0.157)
Pt (0.812, 0.157, 0.655)
Pt (0.345, 0.188, 0.843)
Pt (0.188, 0.843, 0.345)
Pt (0.655, 0.497, 0.843)
Pt (0.503, 0.157, 0.345)
Pt (0.497, 0.843, 0.655)
Pt (0.655, 0.812, 0.157)
Pt (0.843, 0.655, 0.497)
Pt (0.157, 0.345, 0.503)
Pt (0.157, 0.655, 0.812)

ΔE_f   -0.223 eV/atom
Symmetry   Im-3